The following is a PBE calculation of a relaxed structure of CdPd5Au6, from the Alexandria database.

a b c (Å): 6.4906 6.4906 8.0439
angles (deg): 90.06 90.06 143.00
Closest atoms and distances in Å follow each position.
Sites, in units of the cell vectors:
Cd  0.0000  0.0000  0.0000  4 Pd 2.90, 8 Au 2.90-2.92
Pd  0.0000  0.0000  0.5000  8 Au 2.84-2.87, 4 Pd 2.91
Pd  0.3334  0.6666  0.5000  8 Au 2.84-2.87, 4 Pd 2.91
Pd  0.3343  0.6657  0.0000  8 Au 2.88-2.90, 2 Cd 2.90, 2 Pd 2.92
Pd  0.6657  0.3343  0.0000  8 Au 2.88-2.90, 2 Cd 2.90, 2 Pd 2.92
Pd  0.6666  0.3334  0.5000  8 Au 2.84-2.87, 4 Pd 2.91
Au  0.1684  0.8315  0.2528  7 Pd 2.84-2.90, 4 Au 2.88-2.92, 1 Cd 2.90
Au  0.1685  0.8316  0.7472  7 Pd 2.84-2.90, 4 Au 2.88-2.92, 1 Cd 2.90
Au  0.5000  0.5000  0.2565  6 Pd 2.84-2.90, 2 Cd 2.91-2.92, 4 Au 2.92
Au  0.5000  0.5000  0.7435  6 Pd 2.84-2.90, 2 Cd 2.91-2.92, 4 Au 2.92
Au  0.8315  0.1684  0.2528  7 Pd 2.84-2.90, 4 Au 2.88-2.92, 1 Cd 2.90
Au  0.8316  0.1685  0.7472  7 Pd 2.84-2.90, 4 Au 2.88-2.92, 1 Cd 2.90

Output
- crystal system = monoclinic
- total magnetic moment (μB/f.u.) = 0.0
- energy of formation (kJ/mol of formula units) = -163
- space group = C2/m, No. 12